No. 1
SiAs3Os | PBEsol | optimized geometry

- formation energy from raw total energies (eV/atom) = 0.940
- size of the total moment (μB per cell) = 0.00

Lattice parameters (Å, degrees): 4.747 4.747 4.747 90.00 90.00 90.00
Space group Pm-3m (No. 221)
Asymmetric unit:
Si  0.000  0.000  0.000 (multiplicity 1)
As  0.000  0.500  0.500 (multiplicity 3)
Os  0.500  0.500  0.500 (multiplicity 1)

***

No. 2
SiAsOs | PBEsol | optimized geometry

- formation energy from raw total energies (eV/atom) = 0.543
- size of the total moment (μB per cell) = 0.00

Lattice parameters (Å, degrees): 5.773 5.773 5.773 90.00 90.00 90.00
Space group F-43m (No. 216)
Asymmetric unit:
Si  0.000  0.000  0.000 (multiplicity 4)
As  0.250  0.250  0.750 (multiplicity 4)
Os  0.250  0.250  0.250 (multiplicity 4)

***

No. 3
SnAs3Os | PBEsol | optimized geometry

- energy relative to the elements (eV/atom) = 0.610
- size of the total moment (μB per cell) = 0.00

Lattice parameters (Å, degrees): 4.802 4.802 4.802 90.00 90.00 90.00
Space group Pm-3m (No. 221)
Asymmetric unit:
Sn  0.000  0.000  0.000 (multiplicity 1)
As  0.000  0.500  0.500 (multiplicity 3)
Os  0.500  0.500  0.500 (multiplicity 1)

***

No. 4
Sr2AsOs | PBEsol | optimized geometry

- energy relative to the elements (eV/atom) = 0.361
- size of the total moment (μB per cell) = 0.00

Lattice parameters (Å, degrees): 7.001 7.001 7.001 90.00 90.00 90.00
Space group F-43m (No. 216)
Asymmetric unit:
Sr  0.000  0.000  0.000 (multiplicity 4)
Sr  0.250  0.250  0.250 (multiplicity 4)
As  0.000  0.000  0.500 (multiplicity 4)
Os  0.250  0.250  0.750 (multiplicity 4)